Density functional theory data (PBE-GGA) for crystalline CrRuW2Cl at its relaxed geometry.

Summary:
Uncorrected formation energy = 1567 meV per atom
Magnetic moment = 0.00 μB per cell

abc: 4.371 4.371 4.240
angles: 90.00 90.00 90.00
Space group P4/mmm (No. 123)
Unique sites:
Cr1 0.000 0.000 0.000
Ru1 0.500 0.500 0.000
W1 0.000 0.500 0.500
Cl1 0.500 0.500 0.500